Material: AcPr2Sn
Method: DFT, GGA-PBE
State: relaxed

Summary:
M_tot: 0.0 μB per formula unit
N(E_F): 1.7893 states/eV/atom
Total DFT energy (no corrections): -4.646 eV/atom
Relative energy among the computed polymorphs: 173 meV/atom
ΔH_f (0 K): -0.2287 eV per atom

a = 8.0826 Å, b = 8.0826 Å, c = 8.0826 Å
α = 90.00°, β = 90.00°, γ = 90.00°
Space group Fm-3m (No. 225)
Asymmetric unit:
Ac1 0.0000 0.0000 0.0000 x4
Pr1 0.2500 0.2500 0.2500 x8
Sn1 0.0000 0.0000 0.5000 x4